Hf3CdC (PBE-GGA, optimized geometry); DOS at the Fermi energy = 4.93 states/eV per cell; total DFT energy (no corrections) = -39.72 eV per formula unit; E_form = 56 meV per atom
1.0
-1.951 -1.482 2.073
2.001 -5.000 -1.691
4.299 -0.616 3.605
Hf C Cd
3 1 1
direct
0.500 0.338 0.304
0.500 0.696 0.662
0.000 0.208 0.792
0.000 0.521 0.479
0.500 0.865 0.135